DFT (PBE) results for a geometry-optimized La3ZnN structure.

Properties
The calculation puts the total DFT energy (no corrections) at -5.57 eV/atom. As for the total magnetization: 0.01 μB per cell. Its symmetry is No. 62.

Lattice parameters (Å, degrees): 7.213 10.042 7.078 90.00 90.00 90.00
Fractional coordinates of all 20 atoms:
La 0.493 0.750 0.915
N 0.500 0.000 0.000
La 0.238 0.041 0.763
Zn 0.515 0.750 0.484
Zn 0.015 0.750 0.016
La 0.738 0.041 0.737
La 0.262 0.541 0.263
N 0.000 0.000 0.500
La 0.738 0.459 0.737
La 0.762 0.959 0.237
La 0.993 0.750 0.585
La 0.762 0.541 0.237
Zn 0.985 0.250 0.984
La 0.238 0.459 0.763
La 0.007 0.250 0.415
N 0.000 0.500 0.500
La 0.262 0.959 0.263
N 0.500 0.500 0.000
La 0.507 0.250 0.085
Zn 0.485 0.250 0.516

---

DFT (PBE) results for a geometry-optimized YFeCoPb structure.

Properties
The calculation puts the total DFT energy (no corrections) at -6.10 eV/atom. As for the total magnetization: 4.41 μB per cell. Its symmetry is No. 216.

Lattice parameters (Å, degrees): 4.777 4.777 4.777 60.00 60.00 60.00
Fractional coordinates of all 4 atoms:
Fe 0.750 0.750 0.750
Pb 0.000 0.000 0.000
Co 0.500 0.500 0.500
Y 0.250 0.250 0.250

---

DFT (PBE) results for a geometry-optimized Be3FeN structure.

Properties
The calculation puts the total DFT energy (no corrections) at -5.46 eV/atom. As for the total magnetization: 1.64 μB per cell. Its symmetry is No. 221.

Lattice parameters (Å, degrees): 3.475 3.475 3.475 90.00 90.00 90.00
Fractional coordinates of all 5 atoms:
Be 0.500 0.000 0.500
Be 0.500 0.500 0.000
N 0.500 0.500 0.500
Fe 0.000 0.000 0.000
Be 0.000 0.500 0.500

---

DFT (PBE) results for a geometry-optimized ErRe2 structure.

Properties
The calculation puts the total DFT energy (no corrections) at -10.03 eV/atom. As for the total magnetization: 0.01 μB per cell. Its symmetry is No. 227.

Lattice parameters (Å, degrees): 5.383 5.383 5.383 60.00 60.00 60.00
Fractional coordinates of all 6 atoms:
Re 0.625 0.125 0.625
Er 0.250 0.250 0.250
Re 0.625 0.625 0.125
Re 0.625 0.625 0.625
Er 0.000 0.000 0.000
Re 0.125 0.625 0.625

---

DFT (PBE) results for a geometry-optimized HfNbInCu structure.

Properties
The calculation puts the total DFT energy (no corrections) at -6.32 eV/atom. As for the total magnetization: 1.45 μB per cell. Its symmetry is No. 216.

Lattice parameters (Å, degrees): 4.743 4.743 4.743 60.00 60.00 60.00
Fractional coordinates of all 4 atoms:
Hf 0.500 0.500 0.500
Cu 0.750 0.750 0.750
Nb 0.250 0.250 0.250
In 0.000 0.000 0.000

---

DFT (PBE) results for a geometry-optimized YGaIr structure.

Properties
The calculation puts the total DFT energy (no corrections) at -6.98 eV/atom. As for the total magnetization: 0.01 μB per cell. Its symmetry is No. 62.

Lattice parameters (Å, degrees): 6.845 4.363 7.742 90.00 90.00 90.00
Fractional coordinates of all 12 atoms:
Ir 0.226 0.250 0.103
Ir 0.774 0.750 0.897
Y 0.018 0.750 0.308
Ir 0.726 0.250 0.397
Y 0.982 0.250 0.692
Y 0.518 0.750 0.192
Ga 0.663 0.750 0.573
Ir 0.274 0.750 0.603
Y 0.482 0.250 0.808
Ga 0.163 0.750 0.927
Ga 0.837 0.250 0.073
Ga 0.337 0.250 0.427

---

Copy entry 2 word for word.
DFT (PBE) results for a geometry-optimized YFeCoPb structure.

Properties
The calculation puts the total DFT energy (no corrections) at -6.10 eV/atom. As for the total magnetization: 4.41 μB per cell. Its symmetry is No. 216.

Lattice parameters (Å, degrees): 4.777 4.777 4.777 60.00 60.00 60.00
Fractional coordinates of all 4 atoms:
Fe 0.750 0.750 0.750
Pb 0.000 0.000 0.000
Co 0.500 0.500 0.500
Y 0.250 0.250 0.250